# 1
Compound: MgP2Rh
Source: the Alexandria database
Functional: PBE
Structure: optimized geometry

CIF file:
```
data_MgP2Rh
_space_group_name_H-M_alt 'P 1'
_space_group_IT_number 1
_space_group_name_Hall 'P 1'
_cell_length_a 4.354
_cell_length_b 4.354
_cell_length_c 3.203
_cell_angle_alpha 89.94
_cell_angle_beta 89.94
_cell_angle_gamma 104.23
loop_
_atom_site_label
_atom_site_type_symbol
_atom_site_fract_x
_atom_site_fract_y
_atom_site_fract_z
Mg1 Mg 0.000 0.500 0.500
Rh1 Rh 0.500 0.000 0.500
P1 P 0.000 0.000 0.000
P2 P 0.500 0.500 0.000
```

Results
- SG = Cmmm
- ΔH_f (0 K) (eV/atom) = -0.19
- raw total energy (eV/atom) = -5.136

---

# 2
Compound: MgP2Rh
Source: the Alexandria database
Functional: PBE
Structure: optimized geometry

CIF file:
```
data_MgP2Rh
_space_group_name_H-M_alt 'P 1'
_space_group_IT_number 1
_space_group_name_Hall 'P 1'
_cell_length_a 4.389
_cell_length_b 4.389
_cell_length_c 4.389
_cell_angle_alpha 121.34
_cell_angle_beta 108.40
_cell_angle_gamma 99.45
loop_
_atom_site_label
_atom_site_type_symbol
_atom_site_fract_x
_atom_site_fract_y
_atom_site_fract_z
Rh1 Rh 0.750 0.250 0.500
P1 P 0.958 0.958 0.000
P2 P 0.542 0.542 0.000
Mg1 Mg 0.250 0.750 0.500
```

Results
- SG = Immm
- ΔH_f (0 K) (eV/atom) = -0.22
- raw total energy (eV/atom) = -5.160